## one
DFT (PBE) results for an optimized crystal structure of Li2CaPm.

For the spin magnetization, the calculation gives 0.000 μB/cell. As for the density of states at the Fermi level: 18.0 states/eV per cell. Its calculated density is 2.9 Mg/m³.

Unit cell a=7.713 b=7.713 c=7.713 alpha=90.00 beta=90.00 gamma=90.00
Space group Fm-3m (No. 225)
One atom of each set of equivalent atoms:
Li (0.250, 0.250, 0.250)
Ca (0.000, 0.000, 0.000)
Pm (0.000, 0.000, 0.500)

## two
DFT (PBE) results for an optimized crystal structure of Li2CaPm.

For the spin magnetization, the calculation gives 0.113 μB/cell. As for the density of states at the Fermi level: 4.7 states/eV per cell. Its calculated density is 2.8 Mg/m³.

Unit cell a=3.839 b=3.839 c=7.865 alpha=90.00 beta=90.00 gamma=90.00
Space group P4/mmm (No. 123)
One atom of each set of equivalent atoms:
Li (0.000, 0.000, 0.242)
Ca (0.500, 0.500, 0.500)
Pm (0.500, 0.500, 0.000)

Energetically preferred structure: two | next structure: +0.020 eV/atom